20
Lattice="8.873 -2.269 -2.355 0.887 8.495 -1.095 0.887 -1.409 8.448" Properties=species:S:1:pos:R:3 comment="TbNd6Tm2Mg, optimized geometry, DFT PBE" volume_a3_per_atom=33.1 density_g_cm3=6.95 final_energy_ev_per_atom=-4.27 delta_e_f_kj_per_mol_atoms=11 pbc="T T T"
Mg 7.541 2.799 0.987
Mg 3.105 2.017 4.012
Nd 7.287 5.922 1.900
Nd 8.807 -0.077 2.273
Nd 6.275 1.407 3.813
Nd 9.246 5.383 -1.033
Nd 1.839 4.893 2.725
Nd 3.359 -1.106 3.099
Nd 4.810 -0.097 6.518
Nd 2.851 2.814 7.166
Nd 4.371 3.409 1.185
Nd 5.837 4.914 -1.520
Nd 7.796 2.003 -2.168
Nd 1.400 -0.566 6.032
Tm 9.399 3.028 3.847
Tm 4.963 4.867 4.346
Tm 1.247 1.788 1.151
Tm 5.683 -0.051 0.652
Tb 3.105 7.291 -1.071
Tb 7.541 -2.475 6.069